Record 1
This record from Alexandria via LeMat-Bulk describes PrSm2UO8 after structural relaxation. The functional is PBE-GGA.

```
PrSm2UO8
1.0
3.9631 0.0000 0.0000
0.0000 5.4707 0.0000
0.0000 0.0000 7.7273
Pr Sm U O
1 2 1 8
direct
0.0000 0.0000 0.0000
0.5000 0.5000 0.2572
0.5000 0.5000 0.7428
0.0000 0.0000 0.5000
0.0000 0.2391 0.2807
0.0000 0.2391 0.7193
0.0000 0.7609 0.2807
0.0000 0.7609 0.7193
0.5000 0.2251 0.5000
0.5000 0.2598 0.0000
0.5000 0.7402 0.0000
0.5000 0.7749 0.5000
```

Properties
**Raw formation energy**: -3.196 eV/atom
**Crystal system**: orthorhombic



Record 2
This record from Alexandria via LeMat-Bulk describes Pr4ErAg after structural relaxation. The functional is PBE-GGA.

```
Pr4ErAg
1.0
3.7039 0.0000 0.0000
0.0000 3.7039 0.0000
0.0000 0.0000 14.1694
Pr Er Ag
4 1 1
direct
0.0000 0.0000 0.1396
0.0000 0.0000 0.8604
0.5000 0.5000 0.3254
0.5000 0.5000 0.6746
0.0000 0.0000 0.5000
0.5000 0.5000 0.0000
```

Properties
**Formation energy from the elements**: -5.9 kJ/mol of atoms
**Crystal system**: tetragonal



Record 3
This record from Alexandria via LeMat-Bulk describes Ce4TlRu after structural relaxation. The functional is PBE-GGA.

```
Ce4TlRu
1.0
3.1624 -9.2197 0.0000
3.1624 9.2197 0.0000
0.0000 0.0000 4.7358
Ce Tl Ru
8 2 2
direct
0.0091 0.4234 0.2500
0.1683 0.2549 0.2500
0.2549 0.1683 0.7500
0.4234 0.0091 0.7500
0.5766 0.9909 0.2500
0.7451 0.8317 0.2500
0.8317 0.7451 0.7500
0.9909 0.5766 0.7500
0.3787 0.6213 0.7500
0.6213 0.3787 0.2500
0.1295 0.8705 0.2500
0.8705 0.1295 0.7500
```

Properties
**Formation energy from the elements**: -13.0 kJ/mol of atoms
**Polymorph energy (0 for the lowest one)**: 72 meV/atom
**Crystal system**: orthorhombic



Record 4
This record from Alexandria via LeMat-Bulk describes CaLaNiIr after structural relaxation. The functional is PBE-GGA.

```
CaLaNiIr
1.0
4.1563 0.0000 0.0000
0.0000 4.1282 0.0000
0.0000 0.0000 10.7964
Ca La Ni Ir
2 2 2 2
direct
0.0000 0.0000 0.0000
0.0000 0.5000 0.5000
0.5000 0.0000 0.7159
0.5000 0.5000 0.2159
0.5000 0.0000 0.4203
0.5000 0.5000 0.9203
0.0000 0.0000 0.2929
0.0000 0.5000 0.7929
```

Properties
**Formation energy from the elements**: -41.6 kJ/mol of atoms
**Polymorph energy (0 for the lowest one)**: 0 meV/atom
**Crystal system**: orthorhombic



Record 5
This record from Alexandria via LeMat-Bulk describes CaAl2Pt2 after structural relaxation. The functional is PBE-GGA.

```
CaAl2Pt2
1.0
7.7592 0.0000 0.0000
0.0000 7.7592 0.0000
0.0000 0.0000 2.8220
Ca Al Pt
2 4 4
direct
0.0000 0.0000 0.0000
0.5000 0.5000 0.0000
0.1248 0.3752 0.0000
0.3752 0.8752 0.0000
0.6248 0.1248 0.0000
0.8752 0.6248 0.0000
0.1708 0.6708 0.5000
0.3292 0.1708 0.5000
0.6708 0.8292 0.5000
0.8292 0.3292 0.5000
```

Properties
**Formation energy from the elements**: -87.6 kJ/mol of atoms
**Crystal system**: tetragonal



Record 6
This record from Alexandria via LeMat-Bulk describes La2Bi2Ru after structural relaxation. The functional is PBE-GGA.

```
La2Bi2Ru
1.0
7.3425 0.0000 0.0000
0.0000 7.3425 0.0000
0.0000 0.0000 5.1926
La Bi Ru
4 4 2
direct
0.1710 0.3290 0.0000
0.3290 0.8290 0.0000
0.6710 0.1710 0.0000
0.8290 0.6710 0.0000
0.1503 0.6503 0.5000
0.3497 0.1503 0.5000
0.6503 0.8497 0.5000
0.8497 0.3497 0.5000
0.0000 0.0000 0.5000
0.5000 0.5000 0.5000
```

Properties
**Formation energy from the elements**: -39.6 kJ/mol of atoms
**Crystal system**: tetragonal



| no. | total moment (μB per formula unit) |
| --- | --- |
| 1 | 0.9 |
| 2 | 0.0 |
| 3 | 0.0 |
| 4 | 0.0 |
| 5 | 0.0 |
| 6 | 0.0 |